Below is crystalline CaPm2CoO6 at its relaxed geometry, with properties calculated at the PBE+U level.

## Properties
V in Å³ per cell: 254
VASP energy in Ry/atom: -0.525
Magnetic moment in μB/cell: 2.147
SG: No. 14

Cell lengths 5.503, 5.803, 9.625 Å; angles 90.00, 124.28, 90.00 degrees
Atoms (fractional coordinates):
Ca 0.000 0.000 0.000
Ca 0.000 0.500 0.500
Pm 0.268 0.062 0.748
Pm 0.268 0.438 0.248
Pm 0.732 0.562 0.752
Pm 0.732 0.938 0.252
Co 0.500 0.000 0.500
Co 0.500 0.500 0.000
O 0.162 0.047 0.275
O 0.162 0.453 0.775
O 0.273 0.679 0.052
O 0.273 0.821 0.552
O 0.392 0.224 0.066
O 0.392 0.276 0.566
O 0.608 0.724 0.434
O 0.608 0.776 0.934
O 0.727 0.179 0.448
O 0.727 0.321 0.948
O 0.838 0.547 0.225
O 0.838 0.953 0.725